## A
Compound: NbIrSCl2
Source: Alexandria via LeMat-Bulk
Functional: PBE-GGA
Structure: optimized geometry

The density of states at the Fermi level comes out at 6.06 states/eV/f.u.

The space group is P4/mmm (No. 123) and the conventional cell measures 4.708, 4.708 and 4.775 Å, with angles of 90.00, 90.00 and 90.00 degrees. The inequivalent atoms are Nb at (0.000, 0.000, 0.000), Ir at (0.500, 0.500, 0.500), S at (0.500, 0.500, 0.000) and Cl at (0.000, 0.500, 0.500).

=====

## B
Compound: NbIrSCl2
Source: Alexandria via LeMat-Bulk
Functional: PBE-GGA
Structure: optimized geometry

The density of states at the Fermi level comes out at 7.70 states/eV/f.u.

The space group is P4/mmm (No. 123) and the conventional cell measures 4.833, 4.833 and 4.847 Å, with angles of 90.00, 90.00 and 90.00 degrees. The inequivalent atoms are Nb at (0.000, 0.000, 0.000), Ir at (0.500, 0.500, 0.500), S at (0.000, 0.000, 0.500) and Cl at (0.000, 0.500, 0.000).

=====

Winner for stability: B

=====

## A
Compound: NbIrS2Cl
Source: Alexandria via LeMat-Bulk
Functional: PBE-GGA
Structure: optimized geometry

The density of states at the Fermi level comes out at 4.37 states/eV/f.u.

The space group is P4/mmm (No. 123) and the conventional cell measures 4.687, 4.687 and 4.603 Å, with angles of 90.00, 90.00 and 90.00 degrees. The inequivalent atoms are Nb at (0.000, 0.000, 0.000), Ir at (0.500, 0.500, 0.500), S at (0.000, 0.500, 0.500) and Cl at (0.500, 0.500, 0.000).

=====

## B
Compound: NbIrS2Cl
Source: Alexandria via LeMat-Bulk
Functional: PBE-GGA
Structure: optimized geometry

The density of states at the Fermi level comes out at 7.66 states/eV/f.u.

The space group is P4/mmm (No. 123) and the conventional cell measures 4.812, 4.812 and 4.739 Å, with angles of 90.00, 90.00 and 90.00 degrees. The inequivalent atoms are Nb at (0.000, 0.000, 0.000), Ir at (0.500, 0.500, 0.500), S at (0.000, 0.500, 0.000) and Cl at (0.000, 0.000, 0.500).

=====

Winner for stability: A

=====

## A
Compound: Nd2IrCl
Source: Alexandria via LeMat-Bulk
Functional: PBE-GGA
Structure: optimized geometry

The density of states at the Fermi level comes out at 1.33 states/eV/f.u.

The space group is R3m (No. 160, hexagonal axes) and the conventional cell measures 4.1286, 4.1286 and 23.0876 Å, with angles of 90.00, 90.00 and 120.00 degrees. The inequivalent atoms are Nd at (0.0000, 0.0000, 0.0000), Nd at (0.0000, 0.0000, 0.2006), Ir at (0.0000, 0.0000, 0.6000) and Cl at (0.0000, 0.0000, 0.4288).

=====

## B
Compound: Nd2IrCl
Source: Alexandria via LeMat-Bulk
Functional: PBE-GGA
Structure: optimized geometry

The density of states at the Fermi level comes out at 2.63 states/eV/f.u.

The space group is P4/mmm (No. 123) and the conventional cell measures 3.457, 3.457 and 8.157 Å, with angles of 90.00, 90.00 and 90.00 degrees. The inequivalent atoms are Nd at (0.000, 0.000, 0.217), Ir at (0.500, 0.500, 0.000) and Cl at (0.500, 0.500, 0.500).

=====

Winner for stability: A

=====

## A
Compound: Ni2IrCl
Source: Alexandria via LeMat-Bulk
Functional: PBE-GGA
Structure: optimized geometry

The density of states at the Fermi level comes out at 5.87 states/eV/f.u.

The space group is C2/m (No. 12) and the conventional cell measures 5.179, 7.533 and 2.761 Å, with angles of 90.00, 90.22 and 90.00 degrees. The inequivalent atoms are Ni at (0.250, 0.250, 0.000), Ir at (0.000, 0.000, 0.500) and Cl at (0.000, 0.500, 0.500).

=====

## B
Compound: Ni2IrCl
Source: Alexandria via LeMat-Bulk
Functional: PBE-GGA
Structure: optimized geometry

The density of states at the Fermi level comes out at 5.43 states/eV/f.u.

The space group is P4mm (No. 99) and the conventional cell measures 3.004, 3.004 and 6.379 Å, with angles of 90.00, 90.00 and 90.00 degrees. The inequivalent atoms are Ni at (0.000, 0.000, 0.000), Ni at (0.500, 0.500, 0.206), Ir at (0.500, 0.500, 0.799) and Cl at (0.000, 0.000, 0.437).

=====

## C
Compound: Ni2IrCl
Source: Alexandria via LeMat-Bulk
Functional: PBE-GGA
Structure: optimized geometry

The density of states at the Fermi level comes out at 5.77 states/eV/f.u.

The space group is I-4m2 (No. 119) and the conventional cell measures 3.982, 3.982 and 6.856 Å, with angles of 90.00, 90.00 and 90.00 degrees. The inequivalent atoms are Ni at (0.000, 0.000, 0.000), Ni at (0.000, 0.500, 0.250), Ir at (0.000, 0.000, 0.500) and Cl at (0.000, 0.500, 0.750).

=====

Winner for stability: B

=====

## A
Compound: Ni2IrCl
Source: Alexandria via LeMat-Bulk
Functional: PBE-GGA
Structure: optimized geometry

The density of states at the Fermi level comes out at 7.06 states/eV/f.u.

The space group is Cmm2 (No. 35) and the conventional cell measures 2.723, 4.692 and 9.487 Å, with angles of 90.00, 90.00 and 90.00 degrees. The inequivalent atoms are Ni at (0.000, 0.000, 0.000), Ni at (0.000, 0.500, 0.211), Ir at (0.000, 0.500, 0.778) and Cl at (0.000, 0.000, 0.405).

=====

## B
Compound: Ni2IrCl
Source: Alexandria via LeMat-Bulk
Functional: PBE-GGA
Structure: optimized geometry

The density of states at the Fermi level comes out at 5.77 states/eV/f.u.

The space group is P2/m (No. 10) and the conventional cell measures 2.836, 2.823 and 7.047 Å, with angles of 90.00, 90.07 and 90.00 degrees. The inequivalent atoms are Ni at (0.001, 0.000, 0.229), Ir at (0.500, 0.500, 0.000) and Cl at (0.000, 0.500, 0.500).

=====

Winner for stability: B

=====

## A
Compound: Ni2IrCl
Source: Alexandria via LeMat-Bulk
Functional: PBE-GGA
Structure: optimized geometry

The density of states at the Fermi level comes out at 6.33 states/eV/f.u.

The space group is P4/mmm (No. 123) and the conventional cell measures 4.528, 4.528 and 2.689 Å, with angles of 90.00, 90.00 and 90.00 degrees. The inequivalent atoms are Ni at (0.000, 0.500, 0.000), Ir at (0.000, 0.000, 0.500) and Cl at (0.500, 0.500, 0.500).

=====

## B
Compound: Ni2IrCl
Source: Alexandria via LeMat-Bulk
Functional: PBE-GGA
Structure: optimized geometry

The density of states at the Fermi level comes out at 5.08 states/eV/f.u.

The space group is Fm-3m (No. 225) and the conventional cell measures 6.060, 6.060 and 6.060 Å, with angles of 90.00, 90.00 and 90.00 degrees. The inequivalent atoms are Ni at (0.250, 0.250, 0.250), Ir at (0.000, 0.000, 0.000) and Cl at (0.000, 0.000, 0.500).

=====

## C
Compound: Ni2IrCl
Source: Alexandria via LeMat-Bulk
Functional: PBE-GGA
Structure: optimized geometry

The density of states at the Fermi level comes out at 5.62 states/eV/f.u.

The space group is C2/m (No. 12) and the conventional cell measures 8.189, 2.691 and 7.267 Å, with angles of 90.00, 124.14 and 90.00 degrees. The inequivalent atoms are Ni at (0.140, 0.000, 0.325), Ir at (0.000, 0.500, 0.500) and Cl at (0.000, 0.500, 0.000).

=====

Winner for stability: C

=====

## A
Compound: Ni2IrCl
Source: Alexandria via LeMat-Bulk
Functional: PBE-GGA
Structure: optimized geometry

The density of states at the Fermi level comes out at 6.01 states/eV/f.u.

The space group is R-3m (No. 166, hexagonal axes) and the conventional cell measures 2.8595, 2.8595 and 22.6620 Å, with angles of 90.00, 90.00 and 120.00 degrees. The inequivalent atoms are Ni at (0.0000, 0.0000, 0.2472), Ir at (0.0000, 0.0000, 0.0000) and Cl at (0.0000, 0.0000, 0.5000).

=====

## B
Compound: Ni2IrCl
Source: Alexandria via LeMat-Bulk
Functional: PBE-GGA
Structure: optimized geometry

The density of states at the Fermi level comes out at 6.44 states/eV/f.u.

The space group is Pmm2 (No. 25) and the conventional cell measures 2.715, 4.483 and 4.516 Å, with angles of 90.00, 90.00 and 90.00 degrees. The inequivalent atoms are Ni at (0.000, 0.000, 0.000), Ni at (0.000, 0.500, 0.461), Ir at (0.500, 0.000, 0.498) and Cl at (0.000, 0.500, 0.963).

=====

## C
Compound: Ni2IrCl
Source: Alexandria via LeMat-Bulk
Functional: PBE-GGA
Structure: optimized geometry

The density of states at the Fermi level comes out at 6.71 states/eV/f.u.

The space group is Immm (No. 71) and the conventional cell measures 2.756, 4.563 and 8.461 Å, with angles of 90.00, 90.00 and 90.00 degrees. The inequivalent atoms are Ni at (0.000, 0.000, 0.240), Ir at (0.000, 0.500, 0.000) and Cl at (0.000, 0.500, 0.500).

=====

## D
Compound: Ni2IrCl
Source: Alexandria via LeMat-Bulk
Functional: PBE-GGA
Structure: optimized geometry

The density of states at the Fermi level comes out at 5.54 states/eV/f.u.

The space group is P4/mmm (No. 123) and the conventional cell measures 3.760, 3.760 and 3.833 Å, with angles of 90.00, 90.00 and 90.00 degrees. The inequivalent atoms are Ni at (0.000, 0.500, 0.000), Ir at (0.000, 0.000, 0.500) and Cl at (0.500, 0.500, 0.500).

=====

Winner for stability: A

=====

## A
Compound: Ni2IrCl
Source: Alexandria via LeMat-Bulk
Functional: PBE-GGA
Structure: optimized geometry

The density of states at the Fermi level comes out at 7.56 states/eV/f.u.

The space group is Cmmm (No. 65) and the conventional cell measures 2.771, 4.911 and 8.066 Å, with angles of 90.00, 90.00 and 90.00 degrees. The inequivalent atoms are Ni at (0.000, 0.000, 0.240), Ir at (0.000, 0.500, 0.500) and Cl at (0.000, 0.500, 0.000).

=====

## B
Compound: Ni2IrCl
Source: Alexandria via LeMat-Bulk
Functional: PBE-GGA
Structure: optimized geometry

The density of states at the Fermi level comes out at 3.78 states/eV/f.u.

The space group is I-42d (No. 122) and the conventional cell measures 6.643, 6.643 and 4.980 Å, with angles of 90.00, 90.00 and 90.00 degrees. The inequivalent atoms are Ni at (0.226, 0.250, 0.125), Ir at (0.000, 0.000, 0.500) and Cl at (0.000, 0.000, 0.000).

=====

## C
Compound: Ni2IrCl
Source: Alexandria via LeMat-Bulk
Functional: PBE-GGA
Structure: optimized geometry

The density of states at the Fermi level comes out at 5.78 states/eV/f.u.

The space group is Cm (No. 8) and the conventional cell measures 8.055, 2.819 and 6.140 Å, with angles of 90.00, 98.15 and 90.00 degrees. The inequivalent atoms are Ni at (0.000, 0.000, 0.000), Ni at (0.240, 0.500, 0.173), Ir at (0.261, 0.000, 0.847) and Cl at (0.184, 0.500, 0.511).

=====

## D
Compound: Ni2IrCl
Source: Alexandria via LeMat-Bulk
Functional: PBE-GGA
Structure: optimized geometry

The density of states at the Fermi level comes out at 6.51 states/eV/f.u.

The space group is Pmmm (No. 47) and the conventional cell measures 2.763, 4.407 and 4.423 Å, with angles of 90.00, 90.00 and 90.00 degrees. The inequivalent atoms are Ni at (0.000, 0.000, 0.000), Ni at (0.500, 0.000, 0.500), Ir at (0.000, 0.500, 0.500) and Cl at (0.500, 0.500, 0.000).

=====

Winner for stability: C